KMnSiF2 GGA+U optimized geometry; DFT total energy = -0.1430 Ha/atom; crystal system = tetragonal
1.0
4.5776 0.0000 0.0000
0.0000 5.6200 0.0000
0.0000 0.0000 4.5776
F K Mn Si
2 1 1 1
Direct
0.0000 0.0000 0.5000 F
0.5000 0.0000 0.0000 F
0.0000 0.0000 0.0000 K
0.5000 0.5000 0.5000 Mn
0.0000 0.5000 0.0000 Si